Below is an optimized crystal structure of Ca7Ge6, with properties calculated at the PBE level.

Unit cell a=7.427 b=22.429 c=8.108 alpha=90.00 beta=90.00 gamma=90.00
Sites, in units of the cell vectors:
Ca 0.016 0.163 0.179
Ca 0.016 0.337 0.179
Ca 0.148 0.643 0.318
Ca 0.148 0.857 0.318
Ca 0.165 0.519 0.678
Ca 0.165 0.981 0.678
Ca 0.185 0.250 0.517
Ca 0.315 0.750 0.017
Ca 0.335 0.019 0.178
Ca 0.335 0.481 0.178
Ca 0.352 0.143 0.818
Ca 0.352 0.357 0.818
Ca 0.484 0.663 0.679
Ca 0.484 0.837 0.679
Ca 0.516 0.163 0.321
Ca 0.516 0.337 0.321
Ca 0.648 0.643 0.182
Ca 0.648 0.857 0.182
Ca 0.665 0.519 0.822
Ca 0.665 0.981 0.822
Ca 0.685 0.250 0.983
Ca 0.815 0.750 0.483
Ca 0.835 0.019 0.322
Ca 0.835 0.481 0.322
Ca 0.852 0.143 0.682
Ca 0.852 0.357 0.682
Ca 0.984 0.663 0.821
Ca 0.984 0.837 0.821
Ge 0.003 0.555 0.043
Ge 0.003 0.945 0.043
Ge 0.075 0.250 0.876
Ge 0.183 0.098 0.473
Ge 0.183 0.402 0.473
Ge 0.191 0.750 0.605
Ge 0.309 0.250 0.105
Ge 0.317 0.598 0.973
Ge 0.317 0.902 0.973
Ge 0.425 0.750 0.376
Ge 0.497 0.055 0.543
Ge 0.497 0.445 0.543
Ge 0.503 0.555 0.457
Ge 0.503 0.945 0.457
Ge 0.575 0.250 0.624
Ge 0.683 0.098 0.027
Ge 0.683 0.402 0.027
Ge 0.691 0.750 0.895
Ge 0.809 0.250 0.395
Ge 0.817 0.598 0.527
Ge 0.817 0.902 0.527
Ge 0.925 0.750 0.124
Ge 0.997 0.055 0.957
Ge 0.997 0.445 0.957

Values from the calculation:
For the formation energy, the calculation gives -0.640 eV per atom.


Below is an optimized crystal structure of CaGe, with properties calculated at the PBE level.

Unit cell a=6.709 b=8.401 c=3.326 alpha=90.00 beta=90.00 gamma=90.00
Sites, in units of the cell vectors:
Ca 0.000 0.217 0.000
Ca 0.000 0.783 0.000
Ca 0.500 0.283 0.000
Ca 0.500 0.717 0.000
Ge 0.197 0.500 0.500
Ge 0.303 0.000 0.500
Ge 0.697 0.000 0.500
Ge 0.803 0.500 0.500

Values from the calculation:
For the formation energy, the calculation gives -0.564 eV per atom.


no.,magnetization (Bohr magnetons per cell)
1,0.000
2,0.000